{
  "formula": "SrZnCd",
  "functional": "PBE",
  "state": "relaxed",
  "dos_ef_per_ev_atom": 0.52,
  "ef_ev_per_atom": -0.25,
  "rho_g_cm3": 5.26,
  "lattice": [[-2.516, -3.406, -1.258], [3.538, -3.660, 2.795], [-2.358, -3.640, 6.765]],
  "species": ["Sr", "Cd", "Zn", "Zn", "Cd", "Sr"],
  "frac_coords": [[0.096, 0.397, 0.080], [0.623, 0.916, 0.029], [0.431, 0.889, 0.409], [0.988, 0.740, 0.299], [0.796, 0.712, 0.680], [0.323, 0.231, 0.629]]
}